Entry 1:
Entry from Alexandria via LeMat-Bulk: SrTlMo2 after structural relaxation (PBE).

The magnetization comes out at 0.0 μB/cell. The calculation puts the calculated density at 7.70 Mg/m³. The value obtained for the energy of formation from the pure elements is 686 meV/atom. The space-group type is C2/m (12).

Geometry as POSCAR:
```
SrTlMo2
1.0
5.229 -1.738 0.000
5.229 1.738 0.000
-1.337 0.000 5.739
Sr Tl Mo
1 1 2
Direct
0.000 0.000 0.000
0.500 0.500 0.500
0.235 0.235 0.632
0.765 0.765 0.368
```

---

Entry 2:
Entry from Alexandria via LeMat-Bulk: KCr2Rh after structural relaxation (PBE).

The magnetization comes out at 1.8 μB/cell. The calculation puts the calculated density at 5.37 Mg/m³. The value obtained for the energy of formation from the pure elements is 555 meV/atom. The space-group type is Pm (6).

Geometry as POSCAR:
```
KCr2Rh
1.0
3.025 0.000 0.000
0.000 3.027 0.000
-0.013 0.000 8.308
K Cr Rh
1 2 1
Direct
0.000 0.000 0.000
0.498 0.500 0.353
0.999 0.000 0.517
0.500 0.500 0.687
```

---

Entry 3:
Entry from Alexandria via LeMat-Bulk: Li2Mn after structural relaxation (PBE).

The magnetization comes out at 3.6 μB/cell. The calculation puts the calculated density at 1.79 Mg/m³. The value obtained for the energy of formation from the pure elements is 595 meV/atom. The space-group type is P4/mmm (123).

Geometry as POSCAR:
```
Li2Mn
1.0
4.820 0.000 0.000
0.000 4.820 0.000
0.000 0.000 2.750
Li Mn
2 1
Direct
0.000 0.500 0.000
0.500 0.000 0.000
0.000 0.000 0.500
```

---

Entry 4:
Entry from Alexandria via LeMat-Bulk: RbSiP3 after structural relaxation (PBE).

Its uncorrected formation energy is -0.505 eV per formula unit. The magnetization comes out at 0.0 μB/cell. The calculation puts the calculated density at 2.14 Mg/m³. The space-group type is R3c (161).

Geometry as POSCAR:
```
RbSiP3
1.0
3.937 2.273 5.957
-3.937 2.273 5.957
0.000 -4.546 5.957
Rb Si P
2 2 6
Direct
0.000 0.000 0.000
0.500 0.500 0.500
0.297 0.297 0.297
0.797 0.797 0.797
0.049 0.151 0.369
0.151 0.369 0.049
0.369 0.049 0.151
0.549 0.869 0.651
0.651 0.549 0.869
0.869 0.651 0.549
```

---

Entry 5:
Entry from Alexandria via LeMat-Bulk: LiInS2N after structural relaxation (PBE).

Its uncorrected formation energy is 2.733 eV per formula unit. The magnetization comes out at 2.7 μB/cell. The calculation puts the calculated density at 2.87 Mg/m³. The space-group type is P4/mmm (123).

Geometry as POSCAR:
```
LiInS2N
1.0
5.203 0.000 0.000
0.000 5.203 0.000
0.000 0.000 4.265
Li In S N
1 1 2 1
Direct
0.000 0.000 0.000
0.500 0.500 0.500
0.000 0.500 0.500
0.500 0.000 0.500
0.500 0.500 0.000
```

---

Entry 6:
Entry from Alexandria via LeMat-Bulk: Na2PuTc2N4 after structural relaxation (PBE).

Its uncorrected formation energy is -3.105 eV per formula unit. The magnetization comes out at 4.2 μB/cell. The calculation puts the calculated density at 6.26 Mg/m³. The space-group type is C2/m (12).

Geometry as POSCAR:
```
Na2PuTc2N4
1.0
6.986 -1.706 0.000
6.986 1.706 0.000
-0.893 0.000 6.026
Na Pu Tc N
2 1 2 4
Direct
0.132 0.132 0.008
0.868 0.868 0.992
0.000 0.000 0.500
0.306 0.306 0.418
0.694 0.694 0.582
0.158 0.158 0.408
0.429 0.429 0.290
0.571 0.571 0.710
0.842 0.842 0.592
```

---

Entry 7:
Entry from Alexandria via LeMat-Bulk: Os2RhCl after structural relaxation (PBE).

Its uncorrected formation energy is 3.574 eV per formula unit. The magnetization comes out at 0.0 μB/cell. The calculation puts the calculated density at 14.29 Mg/m³. The space-group type is Cmmm (65).

Geometry as POSCAR:
```
Os2RhCl
1.0
1.361 -2.434 0.000
1.361 2.434 0.000
0.000 0.000 9.095
Os Rh Cl
2 1 1
Direct
0.000 0.000 0.248
0.000 0.000 0.752
0.500 0.500 0.500
0.500 0.500 0.000
```

---

Entry 8:
Entry from Alexandria via LeMat-Bulk: PaBeAsIr after structural relaxation (PBE).

The magnetization comes out at 0.4 μB/cell. The calculation puts the calculated density at 12.03 Mg/m³. The value obtained for the energy of formation from the pure elements is -845 meV/atom. The space-group type is P4/nmm (129).

Geometry as POSCAR:
```
PaBeAsIr
1.0
4.061 0.000 0.000
0.000 4.061 0.000
0.000 0.000 8.488
Pa Be As Ir
2 2 2 2
Direct
0.250 0.250 0.233
0.750 0.750 0.767
0.250 0.250 0.624
0.750 0.750 0.376
0.250 0.250 0.883
0.750 0.750 0.117
0.250 0.750 0.500
0.750 0.250 0.500
```